This record from Alexandria via LeMat-Bulk describes a geometry-optimized TcHg2F6 structure. The functional is PBE-GGA.

```
9
Lattice="5.346 0.000 0.000 -2.673 5.126 -0.127 0.000 0.036 5.699" Properties=species:S:1:pos:R:3 pbc="T T T"
F -1.340 5.102 4.188
F 1.340 5.102 4.188
F 0.000 1.949 5.619
F 1.333 0.060 1.385
F 2.673 3.213 -0.046
F 4.013 0.060 1.385
Hg 0.000 3.014 2.909
Hg 2.673 2.148 2.663
Tc 0.000 0.000 0.000
```

formation energy (no corrections): -1.6876 eV per atom
space group: C2/m (12)
spin magnetization: 2.20 μB per formula unit
E: -4.154 eV per atom